[1]
Here is a relaxed structure of Tm6TcNi from the Alexandria database. Energies are from PBE.

abc: 6.3335 5.8617 6.3330
angles: 90.00 60.00 90.00
With the nearest neighbours (Å) after each atom.
Fractional coordinates of all 8 atoms:
1 Tm 0.0000 0.7511 0.6385  1 Ni 2.71, 1 Tc 2.72
2 Tm 0.6385 0.7511 0.3615  1 Ni 2.71, 1 Tc 2.72
3 Tm 0.3615 0.2489 0.6385  1 Ni 2.71, 1 Tc 2.72
4 Tm 0.0000 0.2489 0.3615  1 Ni 2.71, 1 Tc 2.72
5 Tm 0.3615 0.7511 0.0000  1 Ni 2.72, 1 Tc 2.72
6 Tm 0.6385 0.2489 0.0000  1 Ni 2.72, 1 Tc 2.72
7 Tc 0.0000 0.5000 0.0000  6 Tm 2.72, 2 Ni 2.93
8 Ni 0.0000 0.0000 0.0000  6 Tm 2.71-2.72, 2 Tc 2.93

DFT total energy   -44.34 eV per cell
SG   P-31m, No. 162
Energy of formation   -0.170 eV per atom
M_tot   0.0000 μB per atom



[2]
Here is a relaxed structure of Tm4TcNi from the Alexandria database. Energies are from PBE.

abc: 4.3049 7.3172 17.6474
angles: 90.00 90.00 90.00
With the nearest neighbours (Å) after each atom.
Fractional coordinates of all 24 atoms:
1 Tm 0.7500 0.9092 0.6495  2 Ni 2.75-2.85, 2 Tc 2.89
2 Tm 0.2500 0.0908 0.3505  2 Ni 2.75-2.85, 2 Tc 2.89
3 Tm 0.2500 0.5908 0.1495  2 Ni 2.75-2.85, 2 Tc 2.89
4 Tm 0.7500 0.4092 0.8505  2 Ni 2.75-2.85, 2 Tc 2.89
5 Tm 0.7500 0.8495 0.4550  3 Tc 2.94-2.96
6 Tm 0.2500 0.1505 0.5450  3 Tc 2.94-2.96
7 Tm 0.2500 0.6505 0.9550  3 Tc 2.94-2.96
8 Tm 0.7500 0.3495 0.0450  3 Tc 2.94-2.96
9 Tm 0.7500 0.9904 0.9242  1 Ni 2.77, 3 Tc 2.88-3.01
10 Tm 0.2500 0.0096 0.0758  1 Ni 2.77, 3 Tc 2.88-3.01
11 Tm 0.2500 0.5096 0.4242  1 Ni 2.77, 3 Tc 2.88-3.01
12 Tm 0.7500 0.4904 0.5758  1 Ni 2.77, 3 Tc 2.88-3.01
13 Tm 0.7500 0.9229 0.2213  4 Ni 2.90-3.10, 1 Tc 3.08
14 Tm 0.2500 0.0771 0.7787  4 Ni 2.90-3.10, 1 Tc 3.08
15 Tm 0.2500 0.5771 0.7213  4 Ni 2.90-3.10, 1 Tc 3.08
16 Tm 0.7500 0.4229 0.2787  4 Ni 2.90-3.10, 1 Tc 3.08
17 Tc 0.7500 0.2493 0.4377  9 Tm 2.88-3.08
18 Tc 0.2500 0.7507 0.5623  9 Tm 2.88-3.08
19 Tc 0.2500 0.2507 0.9377  9 Tm 2.88-3.08
20 Tc 0.7500 0.7493 0.0623  9 Tm 2.88-3.08
21 Ni 0.7500 0.7751 0.7949  5 Tm 2.75-2.90
22 Ni 0.2500 0.2249 0.2051  5 Tm 2.75-2.90
23 Ni 0.2500 0.7249 0.2949  5 Tm 2.75-2.90
24 Ni 0.7500 0.2751 0.7051  5 Tm 2.75-2.90

DFT total energy   -141.68 eV per cell
SG   Pnma, No. 62
Energy of formation   -0.231 eV per atom
M_tot   0.0000 μB per atom



[3]
Here is a relaxed structure of Tm8TcNi2 from the Alexandria database. Energies are from PBE.

abc: 5.6304 7.4314 7.4314
angles: 113.58 99.80 99.80
With the nearest neighbours (Å) after each atom.
Fractional coordinates of all 11 atoms:
1 Tm 0.5782 0.3308 0.0781  2 Ni 2.74-2.75
2 Tm 0.5782 0.0781 0.3308  2 Ni 2.74-2.75
3 Tm 0.1737 0.3650 0.3650  1 Tc 2.84, 2 Ni 3.00
4 Tm 0.9908 0.2182 0.7806  1 Tc 2.78, 2 Ni 3.02-3.04
5 Tm 0.9908 0.7806 0.2182  1 Tc 2.78, 2 Ni 3.02-3.04
6 Tm 0.8144 0.6437 0.6437  1 Tc 2.87, 2 Ni 2.98
7 Tm 0.3916 0.9275 0.6745  2 Ni 2.77
8 Tm 0.3916 0.6745 0.9275  2 Ni 2.77
9 Tc 0.0984 0.0041 0.0041  8 Tm 2.78-3.11
10 Ni 0.4960 0.6970 0.3145  8 Tm 2.74-3.04
11 Ni 0.4960 0.3145 0.6970  8 Tm 2.74-3.04

DFT total energy   -59.11 eV per cell
SG   Cm, No. 8
Energy of formation   -0.128 eV per atom
M_tot   0.0000 μB per atom



[4]
Here is a relaxed structure of Tm6TcNi from the Alexandria database. Energies are from PBE.

abc: 6.5104 6.5282 6.3107
angles: 58.85 80.38 71.15
With the nearest neighbours (Å) after each atom.
Fractional coordinates of all 8 atoms:
1 Tm 0.7481 0.4207 0.6493  1 Ni 2.67, 1 Tc 2.69
2 Tm 0.7481 0.0700 0.3507  1 Ni 2.67, 1 Tc 2.69
3 Tm 0.2519 0.9300 0.6493  1 Ni 2.67, 1 Tc 2.69
4 Tm 0.2519 0.5793 0.3507  1 Ni 2.67, 1 Tc 2.69
5 Tm 0.7547 0.7527 0.0000  1 Ni 2.61, 1 Tc 2.69
6 Tm 0.2453 0.2473 0.0000  1 Ni 2.61, 1 Tc 2.69
7 Tc 0.5000 0.5000 0.0000  6 Tm 2.69
8 Ni 0.0000 0.0000 0.0000  6 Tm 2.61-2.67

DFT total energy   -43.50 eV per cell
SG   C2/m, No. 12
Energy of formation   -0.065 eV per atom
M_tot   0.0000 μB per atom



[5]
Here is a relaxed structure of Tm4TcNi from the Alexandria database. Energies are from PBE.

abc: 7.5001 7.5001 7.5001
angles: 106.44 106.44 115.72
With the nearest neighbours (Å) after each atom.
Fractional coordinates of all 12 atoms:
1 Tm 0.2479 0.9494 0.7014  2 Tc 2.68-2.72, 1 Ni 2.72
2 Tm 0.7535 0.4590 0.7055  2 Ni 2.65-2.72, 1 Tc 2.66
3 Tm 0.6994 0.4979 0.2014  2 Tc 2.68-2.72, 1 Ni 2.72
4 Tm 0.2090 0.0035 0.2055  2 Ni 2.65-2.72, 1 Tc 2.66
5 Tm 0.2965 0.4979 0.7986  2 Tc 2.68-2.72, 1 Ni 2.72
6 Tm 0.7980 0.0035 0.7945  2 Ni 2.65-2.72, 1 Tc 2.66
7 Tm 0.7535 0.0480 0.2945  2 Ni 2.65-2.72, 1 Tc 2.66
8 Tm 0.2479 0.5465 0.2986  2 Tc 2.68-2.72, 1 Ni 2.72
9 Tc 0.2438 0.2438 0.0000  6 Tm 2.66-2.72
10 Tc 0.9938 0.4938 0.5000  6 Tm 2.66-2.72
11 Ni 0.7533 0.7533 0.0000  6 Tm 2.65-2.72
12 Ni 0.5033 0.0033 0.5000  6 Tm 2.65-2.72

DFT total energy   -68.46 eV per cell
SG   I4_1md, No. 109
Energy of formation   -0.033 eV per atom
M_tot   0.0000 μB per atom



[6]
Here is a relaxed structure of Tm8Tc2Ni from the Alexandria database. Energies are from PBE.

abc: 5.7652 7.5027 7.5027
angles: 112.84 101.34 101.34
With the nearest neighbours (Å) after each atom.
Fractional coordinates of all 11 atoms:
1 Tm 0.5898 0.3492 0.0862  2 Tc 2.77-2.78, 1 Ni 3.06
2 Tm 0.5898 0.0862 0.3492  2 Tc 2.77-2.78, 1 Ni 3.06
3 Tm 0.1829 0.3626 0.3626  2 Tc 2.92, 1 Ni 2.99
4 Tm 0.9916 0.2135 0.7973  1 Ni 2.76, 1 Tc 3.07
5 Tm 0.9916 0.7973 0.2135  1 Ni 2.76, 1 Tc 3.07
6 Tm 0.7909 0.6350 0.6350  1 Ni 2.95, 2 Tc 2.97
7 Tm 0.3833 0.9256 0.6666  2 Tc 2.75-2.79, 1 Ni 2.97
8 Tm 0.3833 0.6666 0.9256  2 Tc 2.75-2.79, 1 Ni 2.97
9 Tc 0.4764 0.6933 0.3109  7 Tm 2.75-3.07
10 Tc 0.4764 0.3109 0.6933  7 Tm 2.75-3.07
11 Ni 0.1437 0.9936 0.9936  8 Tm 2.76-3.06

DFT total energy   -63.35 eV per cell
SG   Cm, No. 8
Energy of formation   -0.096 eV per atom
M_tot   0.0000 μB per atom



[7]
Here is a relaxed structure of Tm6TcNi2 from the Alexandria database. Energies are from PBE.

abc: 8.0829 8.0829 8.0829
angles: 107.60 110.86 109.97
With the nearest neighbours (Å) after each atom.
Fractional coordinates of all 18 atoms:
1 Tm 0.5603 0.7376 0.8227  3 Ni 2.88-2.97, 1 Tc 2.93
2 Tm 0.4397 0.2624 0.1773  3 Ni 2.88-2.97, 1 Tc 2.93
3 Tm 0.0850 0.2624 0.8227  3 Ni 2.88-2.97, 1 Tc 2.93
4 Tm 0.9150 0.7376 0.1773  3 Ni 2.88-2.97, 1 Tc 2.93
5 Tm 0.8132 0.7418 0.5551  2 Ni 2.86-3.10, 2 Tc 2.88-3.00
6 Tm 0.1868 0.2582 0.4449  2 Ni 2.86-3.10, 2 Tc 2.88-3.00
7 Tm 0.1868 0.7418 0.9286  2 Ni 2.86-3.10, 2 Tc 2.88-3.00
8 Tm 0.8132 0.2582 0.0714  2 Ni 2.86-3.10, 2 Tc 2.88-3.00
9 Tm 0.6965 0.3691 0.6726  3 Ni 2.69-2.84
10 Tm 0.3035 0.6309 0.3274  3 Ni 2.69-2.84
11 Tm 0.3035 0.9761 0.6726  3 Ni 2.69-2.84
12 Tm 0.6965 0.0239 0.3274  3 Ni 2.69-2.84
13 Tc 0.0000 0.5000 0.5000  4 Tm 2.88
14 Tc 0.0000 0.0000 0.0000  8 Tm 2.93-3.00, 2 Ni 3.16
15 Ni 0.5000 0.3801 0.8801  1 Ni 2.29
16 Ni 0.5000 0.6199 0.1199  1 Ni 2.29
17 Ni 0.6550 0.0000 0.6550  8 Tm 2.84-2.88, 1 Ni 2.84, 1 Tc 3.16
18 Ni 0.3450 0.0000 0.3450  8 Tm 2.84-2.88, 1 Ni 2.84, 1 Tc 3.16

DFT total energy   -102.02 eV per cell
SG   Immm, No. 71
Energy of formation   -0.251 eV per atom
M_tot   0.0000 μB per atom



[8]
Here is a relaxed structure of Tm8TcNi2 from the Alexandria database. Energies are from PBE.

abc: 4.9294 6.6255 8.7451
angles: 106.81 106.37 90.00
With the nearest neighbours (Å) after each atom.
Fractional coordinates of all 11 atoms:
1 Tm 0.4063 0.5501 0.8126  1 Tc 2.92, 2 Ni 3.13
2 Tm 0.6709 0.9736 0.3418  1 Ni 2.68, 1 Tc 2.93
3 Tm 0.8013 0.6821 0.6025  1 Ni 2.63
4 Tm 0.9656 0.2041 0.9311  1 Ni 2.80, 2 Tc 2.95
5 Tm 0.1987 0.3179 0.3975  1 Ni 2.63
6 Tm 0.3291 0.0264 0.6582  1 Ni 2.68, 1 Tc 2.93
7 Tm 0.5937 0.4499 0.1874  1 Tc 2.92, 2 Ni 3.13
8 Tm 0.0344 0.7959 0.0689  1 Ni 2.80, 2 Tc 2.95
9 Tc 0.5000 0.0000 0.0000  8 Tm 2.92-2.95
10 Ni 0.8131 0.2955 0.6262  3 Tm 2.63-2.80
11 Ni 0.1869 0.7045 0.3738  3 Tm 2.63-2.80

DFT total energy   -59.92 eV per cell
SG   C2/m, No. 12
Energy of formation   -0.202 eV per atom
M_tot   0.0000 μB per atom



[9]
Here is a relaxed structure of TmTcNi4 from the Alexandria database. Energies are from PBE.

abc: 4.8716 4.8716 4.8716
angles: 60.00 60.00 60.00
With the nearest neighbours (Å) after each atom.
Fractional coordinates of all 6 atoms:
1 Ni 0.6248 0.6248 0.1256  6 Ni 2.43-2.44
2 Ni 0.6248 0.1256 0.6248  6 Ni 2.43-2.44
3 Ni 0.6248 0.6248 0.6248  6 Ni 2.43-2.44
4 Ni 0.1256 0.6248 0.6248  6 Ni 2.43-2.44
5 Tm 0.0000 0.0000 0.0000  12 Ni 2.86, 4 Tc 2.98
6 Tc 0.2500 0.2500 0.2500  12 Ni 2.86, 4 Tm 2.98

DFT total energy   -38.79 eV per cell
SG   F-43m, No. 216
Energy of formation   -0.138 eV per atom
M_tot   0.6766 μB per atom



[10]
Here is a relaxed structure of Tm5TcNi from the Alexandria database. Energies are from PBE.

abc: 8.1670 8.1670 9.1805
angles: 64.50 64.50 111.44
With the nearest neighbours (Å) after each atom.
Fractional coordinates of all 14 atoms:
1 Tm 0.7864 0.9524 0.3602  2 Ni 2.75-2.79, 2 Tc 3.03-3.04
2 Tm 0.8913 0.1965 0.5627  2 Tc 2.71-2.79
3 Tm 0.4524 0.2864 0.8602  2 Ni 2.75-2.79, 2 Tc 3.03-3.04
4 Tm 0.1029 0.3971 0.7500  2 Ni 2.54
5 Tm 0.3035 0.6087 0.9373  2 Tc 2.71-2.79
6 Tm 0.6965 0.3913 0.0627  2 Tc 2.71-2.79
7 Tm 0.8971 0.6029 0.2500  2 Ni 2.54
8 Tm 0.5476 0.7136 0.1398  2 Ni 2.75-2.79, 2 Tc 3.03-3.04
9 Tm 0.1087 0.8035 0.4373  2 Tc 2.71-2.79
10 Tm 0.2136 0.0476 0.6398  2 Ni 2.75-2.79, 2 Tc 3.03-3.04
11 Tc 0.7491 0.7509 0.7500  6 Tm 2.71-3.03
12 Tc 0.2509 0.2491 0.2500  6 Tm 2.71-3.03
13 Ni 0.0000 0.0000 0.0000  6 Tm 2.54-2.79
14 Ni 0.5000 0.5000 0.5000  6 Tm 2.54-2.79

DFT total energy   -78.33 eV per cell
SG   C2/c, No. 15
Energy of formation   -0.094 eV per atom
M_tot   0.0000 μB per atom